(1)
This record from Alexandria via LeMat-Bulk describes a relaxed structure of ScCdPt. The functional is PBE.

```
data_ScCdPt
_chemical_formula_sum 'Sc1 Cd1 Pt1'
_cell_length_a 4.6777
_cell_length_b 4.6777
_cell_length_c 3.0167
_cell_angle_alpha 90.00
_cell_angle_beta 90.00
_cell_angle_gamma 120.00
_symmetry_space_group_name_H-M 'P 3 m 1'
_symmetry_Int_Tables_number 156
loop_
_symmetry_equiv_pos_as_xyz
'x,y,z'
'-y,x-y,z'
'-x+y,-x,z'
'-y,-x,z'
'-x+y,y,z'
'x,x-y,z'
loop_
_atom_site_label
_atom_site_fract_x
_atom_site_fract_y
_atom_site_fract_z
_atom_site_occupancy
Sc1 0.0000 0.0000 0.0000 1
Cd1 0.6667 0.3333 0.4984 1
Pt1 0.3333 0.6667 0.5050 1
```

(2)
This record from Alexandria via LeMat-Bulk describes a relaxed structure of Sc2CdPt. The functional is PBE.

```
data_Sc2CdPt
_chemical_formula_sum 'Sc2 Cd1 Pt1'
_cell_length_a 3.420
_cell_length_b 4.792
_cell_length_c 4.793
_cell_angle_alpha 90.00
_cell_angle_beta 90.00
_cell_angle_gamma 90.00
_symmetry_space_group_name_H-M 'P m m 2'
_symmetry_Int_Tables_number 25
loop_
_symmetry_equiv_pos_as_xyz
'x,y,z'
'-x,-y,z'
'-x,y,z'
'x,-y,z'
loop_
_atom_site_label
_atom_site_fract_x
_atom_site_fract_y
_atom_site_fract_z
_atom_site_occupancy
Sc1 0.000 0.000 0.000 1
Sc2 0.000 0.500 0.499 1
Cd1 0.500 0.500 0.998 1
Pt1 0.500 0.000 0.501 1
```

The evaluated total energy for the records listed, in turn: -5.038, -5.638 eV/atom.
The evaluated DFT formation energy for the records listed, in turn: -0.6092, -0.7328 eV/atom.
The evaluated DOS at the Fermi energy for the records listed, in turn: 2.61, 2.43 states/eV per cell.